# BeTeOs2

A geometry-optimized BeTeOs2 structure (PBE-GGA, Alexandria).

Calculated values
Its total energy is -6.724 eV per atom. The magnetic moment is 0.00 μB per formula unit. Its volume is 14.9 Å³ per atom. The offset from the most stable computed form is 149.4 meV per atom. The value obtained for the formation energy without anion corrections is 0.61 eV/atom.

a b c (Å): 3.004 4.731 8.365
angles (deg): 90.00 90.00 90.00
Space group Immm (No. 71)
Inequivalent atoms, fractional coordinates:
Be 0.000 0.000 0.000 x2
Te 0.000 0.000 0.500 x2
Os 0.000 0.500 0.287 x4